Record 1
LaSmCdIn after structural relaxation, computed with GGA-PBE.

Lattice parameters (Å, degrees): 7.788 7.788 7.788 90.00 90.00 90.00
Atoms (fractional coordinates):
La  0.000  0.000  0.000
La  0.000  0.500  0.500
La  0.500  0.000  0.500
La  0.500  0.500  0.000
Sm  0.000  0.000  0.500
Sm  0.000  0.500  0.000
Sm  0.500  0.000  0.000
Sm  0.500  0.500  0.500
Cd  0.250  0.250  0.750
Cd  0.250  0.750  0.250
Cd  0.750  0.250  0.250
Cd  0.750  0.750  0.750
In  0.250  0.250  0.250
In  0.250  0.750  0.750
In  0.750  0.250  0.750
In  0.750  0.750  0.250

Summary:
- Calculated volume: 29.53 Å³/atom
- E_tot: -3.7424 eV per atom

---

Record 2
GeBiCl5 after structural relaxation, computed with GGA-PBE.

Lattice parameters (Å, degrees): 9.270 10.237 5.534 90.00 90.00 90.00
Atoms (fractional coordinates):
Ge  0.000  0.000  0.000
Ge  0.500  0.500  0.500
Bi  0.000  0.500  0.161
Bi  0.500  0.000  0.661
Cl  0.000  0.000  0.406
Cl  0.000  0.262  0.967
Cl  0.000  0.738  0.967
Cl  0.196  0.500  0.488
Cl  0.304  0.000  0.988
Cl  0.500  0.238  0.467
Cl  0.500  0.500  0.906
Cl  0.500  0.762  0.467
Cl  0.696  0.000  0.988
Cl  0.804  0.500  0.488

Summary:
- E_form (uncorrected): -544 kJ/mol of formula units
- ΔE to the lowest computed polymorph: 45 meV/atom
- Calculated volume: 37.52 Å³/atom
- E_tot: -3.3381 eV per atom

---

Record 3
CaThZnOs after structural relaxation, computed with GGA-PBE.

Lattice parameters (Å, degrees): 7.094 7.094 7.094 90.00 90.00 90.00
Atoms (fractional coordinates):
Ca  0.000  0.000  0.000
Ca  0.000  0.500  0.500
Ca  0.500  0.000  0.500
Ca  0.500  0.500  0.000
Th  0.000  0.000  0.500
Th  0.000  0.500  0.000
Th  0.500  0.000  0.000
Th  0.500  0.500  0.500
Zn  0.250  0.250  0.750
Zn  0.250  0.750  0.250
Zn  0.750  0.250  0.250
Zn  0.750  0.750  0.750
Os  0.250  0.250  0.250
Os  0.250  0.750  0.750
Os  0.750  0.250  0.750
Os  0.750  0.750  0.250

Summary:
- Calculated volume: 22.31 Å³/atom
- E_tot: -5.5219 eV per atom

---

Record 4
PuZrSnAu after structural relaxation, computed with GGA-PBE.

Lattice parameters (Å, degrees): 7.233 7.233 7.233 90.00 90.00 90.00
Atoms (fractional coordinates):
Pu  0.000  0.000  0.000
Pu  0.000  0.500  0.500
Pu  0.500  0.000  0.500
Pu  0.500  0.500  0.000
Zr  0.000  0.000  0.500
Zr  0.000  0.500  0.000
Zr  0.500  0.000  0.000
Zr  0.500  0.500  0.500
Sn  0.250  0.250  0.250
Sn  0.250  0.750  0.750
Sn  0.750  0.250  0.750
Sn  0.750  0.750  0.250
Au  0.250  0.250  0.750
Au  0.250  0.750  0.250
Au  0.750  0.250  0.250
Au  0.750  0.750  0.750

Summary:
- Calculated volume: 23.65 Å³/atom
- E_tot: -7.8687 eV per atom

---

Record 5
Y2AlHg after structural relaxation, computed with GGA-PBE.

Lattice parameters (Å, degrees): 3.491 3.491 8.357 90.00 90.00 90.00
Atoms (fractional coordinates):
Y  0.000  0.000  0.000
Y  0.500  0.500  0.319
Al  0.000  0.000  0.559
Hg  0.500  0.500  0.750

Summary:
- ΔE to the lowest computed polymorph: 262 meV/atom
- Calculated volume: 25.46 Å³/atom
- E_tot: -4.4429 eV per atom

---

Record 6
HfTe2HPb after structural relaxation, computed with GGA-PBE.

Lattice parameters (Å, degrees): 5.674 5.674 6.003 90.00 90.00 90.00
Atoms (fractional coordinates):
Hf  0.000  0.000  0.000
Te  0.000  0.500  0.000
Te  0.500  0.000  0.000
H  0.500  0.500  0.500
Pb  0.000  0.000  0.500

Summary:
- Calculated volume: 38.65 Å³/atom
- E_tot: -4.2493 eV per atom

---

Record 7
BeCoSi2S after structural relaxation, computed with GGA-PBE.

Lattice parameters (Å, degrees): 4.206 4.206 4.149 90.00 90.00 90.00
Atoms (fractional coordinates):
Be  0.000  0.000  0.000
Co  0.000  0.000  0.500
Si  0.000  0.500  0.000
Si  0.500  0.000  0.000
S  0.500  0.500  0.500

Summary:
- E_form (uncorrected): 361 kJ/mol of formula units
- Calculated volume: 14.68 Å³/atom
- E_tot: -4.4118 eV per atom

---

Record 8
SbTe2OsW after structural relaxation, computed with GGA-PBE.

Lattice parameters (Å, degrees): 5.274 5.274 4.945 90.00 90.00 90.00
Atoms (fractional coordinates):
Sb  0.000  0.000  0.000
Te  0.000  0.500  0.500
Te  0.500  0.000  0.500
Os  0.000  0.000  0.500
W  0.500  0.500  0.000

Summary:
- E_form (uncorrected): 766 kJ/mol of formula units
- ΔE to the lowest computed polymorph: 0 meV/atom
- Calculated volume: 27.50 Å³/atom
- E_tot: -5.3308 eV per atom

---

Record 9
LiPm2Hg2 after structural relaxation, computed with GGA-PBE.

Lattice parameters (Å, degrees): 4.382 6.726 8.995 90.00 90.00 90.00
Atoms (fractional coordinates):
Li  0.000  0.000  0.000
Li  0.500  0.500  0.500
Pm  0.000  0.500  0.203
Pm  0.000  0.500  0.797
Pm  0.500  0.000  0.297
Pm  0.500  0.000  0.703
Hg  0.000  0.239  0.500
Hg  0.000  0.761  0.500
Hg  0.500  0.261  0.000
Hg  0.500  0.739  0.000

Summary:
- ΔE to the lowest computed polymorph: 0 meV/atom
- Calculated volume: 26.51 Å³/atom
- E_tot: -2.7420 eV per atom

---

Record 10
ZnAgPd2 after structural relaxation, computed with GGA-PBE.

Lattice parameters (Å, degrees): 2.988 2.988 6.944 90.00 90.00 90.00
Atoms (fractional coordinates):
Zn  0.000  0.000  0.000
Ag  0.000  0.000  0.500
Pd  0.500  0.500  0.223
Pd  0.500  0.500  0.777

Summary:
- Calculated volume: 15.50 Å³/atom
- E_tot: -3.9747 eV per atom

---

Record 11
CeGePbO5 after structural relaxation, computed with GGA-PBE.

Lattice parameters (Å, degrees): 6.113 6.113 7.913 103.08 103.08 107.63
Atoms (fractional coordinates):
Ce  0.000  0.000  0.000
Ce  0.000  0.000  0.500
Ge  0.321  0.679  0.750
Ge  0.679  0.321  0.250
Pb  0.328  0.672  0.250
Pb  0.672  0.328  0.750
O  0.087  0.913  0.250
O  0.106  0.677  0.872
O  0.253  0.393  0.589
O  0.323  0.894  0.628
O  0.393  0.253  0.089
O  0.607  0.747  0.911
O  0.677  0.106  0.372
O  0.747  0.607  0.411
O  0.894  0.323  0.128
O  0.913  0.087  0.750

Summary:
- E_form (uncorrected): -1682 kJ/mol of formula units
- Calculated volume: 16.27 Å³/atom
- E_tot: -7.0609 eV per atom

---

Record 12
La2ZrHg after structural relaxation, computed with GGA-PBE.

Lattice parameters (Å, degrees): 5.541 3.531 5.571 90.00 90.25 90.00
Atoms (fractional coordinates):
La  0.000  0.000  0.000
La  0.500  0.500  0.000
Zr  0.000  0.500  0.500
Hg  0.500  0.000  0.500

Summary:
- Calculated volume: 27.25 Å³/atom
- E_tot: -4.6587 eV per atom

---

Record 13
CaPt2 after structural relaxation, computed with GGA-PBE.

Lattice parameters (Å, degrees): 6.409 6.409 6.409 90.00 90.00 90.00
Atoms (fractional coordinates):
Ca  0.000  0.000  0.000
Ca  0.000  0.500  0.500
Ca  0.500  0.000  0.500
Ca  0.500  0.500  0.000
Pt  0.250  0.250  0.250
Pt  0.250  0.250  0.750
Pt  0.250  0.750  0.250
Pt  0.250  0.750  0.750
Pt  0.750  0.250  0.250
Pt  0.750  0.250  0.750
Pt  0.750  0.750  0.250
Pt  0.750  0.750  0.750

Summary:
- Calculated volume: 21.93 Å³/atom
- E_tot: -4.6679 eV per atom

---

Record 14
HfAlTe after structural relaxation, computed with GGA-PBE.

Lattice parameters (Å, degrees): 6.757 5.367 5.626 75.83 50.35 53.82
Atoms (fractional coordinates):
Hf  0.000  0.000  0.000
Hf  0.250  0.250  0.250
Al  0.327  0.327  0.673
Al  0.577  0.577  0.923
Te  0.651  0.651  0.349
Te  0.901  0.901  0.599

Summary:
- E_form (uncorrected): -95 kJ/mol of formula units
- ΔE to the lowest computed polymorph: 163 meV/atom
- Calculated volume: 20.65 Å³/atom
- E_tot: -5.9418 eV per atom

---

Record 15
HoCdSe after structural relaxation, computed with GGA-PBE.

Lattice parameters (Å, degrees): 8.329 8.329 8.329 33.53 33.53 33.53
Atoms (fractional coordinates):
Ho  0.085  0.085  0.085
Ho  0.915  0.915  0.915
Cd  0.336  0.336  0.336
Cd  0.664  0.664  0.664
Se  0.213  0.213  0.213
Se  0.787  0.787  0.787

Summary:
- E_form (uncorrected): -288 kJ/mol of formula units
- Calculated volume: 26.17 Å³/atom
- E_tot: -3.9863 eV per atom

---

Record 16
AcPrTlHg after structural relaxation, computed with GGA-PBE.

Lattice parameters (Å, degrees): 3.969 3.969 8.101 90.00 90.00 90.00
Atoms (fractional coordinates):
Ac  0.000  0.000  0.000
Pr  0.000  0.000  0.516
Tl  0.500  0.500  0.275
Hg  0.500  0.500  0.737

Summary:
- ΔE to the lowest computed polymorph: 0 meV/atom
- Calculated volume: 31.91 Å³/atom
- E_tot: -3.3017 eV per atom

---

Record 17
Er12Co3Ru5 after structural relaxation, computed with GGA-PBE.

Lattice parameters (Å, degrees): 13.847 13.847 13.847 109.47 109.47 109.47
Atoms (fractional coordinates):
Er  0.045  0.220  0.125
Er  0.045  0.325  0.920
Er  0.080  0.625  0.405
Er  0.080  0.955  0.675
Er  0.095  0.720  0.675
Er  0.095  0.875  0.420
Er  0.125  0.045  0.220
Er  0.125  0.580  0.905
Er  0.175  0.220  0.595
Er  0.175  0.455  0.580
Er  0.220  0.125  0.045
Er  0.220  0.595  0.175
Er  0.280  0.325  0.905
Er  0.280  0.455  0.375
Er  0.325  0.905  0.280
Er  0.325  0.920  0.045
Er  0.375  0.280  0.455
Er  0.375  0.595  0.920
Er  0.405  0.080  0.625
Er  0.405  0.825  0.780
Er  0.420  0.095  0.875
Er  0.420  0.825  0.545
Er  0.455  0.375  0.280
Er  0.455  0.580  0.175
Er  0.545  0.420  0.825
Er  0.545  0.625  0.720
Er  0.580  0.175  0.455
Er  0.580  0.905  0.125
Er  0.595  0.175  0.220
Er  0.595  0.920  0.375
Er  0.625  0.405  0.080
Er  0.625  0.720  0.545
Er  0.675  0.080  0.955
Er  0.675  0.095  0.720
Er  0.720  0.545  0.625
Er  0.720  0.675  0.095
Er  0.780  0.405  0.825
Er  0.780  0.875  0.955
Er  0.825  0.545  0.420
Er  0.825  0.780  0.405
Er  0.875  0.420  0.095
Er  0.875  0.955  0.780
Er  0.905  0.125  0.580
Er  0.905  0.280  0.325
Er  0.920  0.045  0.325
Er  0.920  0.375  0.595
Er  0.955  0.675  0.080
Er  0.955  0.780  0.875
Co  0.125  0.250  0.375
Co  0.125  0.375  0.750
Co  0.250  0.375  0.125
Co  0.250  0.875  0.625
Co  0.375  0.125  0.250
Co  0.375  0.750  0.125
Co  0.625  0.250  0.875
Co  0.625  0.875  0.750
Co  0.750  0.125  0.375
Co  0.750  0.625  0.875
Co  0.875  0.625  0.250
Co  0.875  0.750  0.625
Ru  0.000  0.000  0.000
Ru  0.000  0.000  0.500
Ru  0.000  0.500  0.000
Ru  0.000  0.500  0.500
Ru  0.125  0.750  0.875
Ru  0.125  0.875  0.250
Ru  0.250  0.125  0.875
Ru  0.250  0.625  0.375
Ru  0.375  0.250  0.625
Ru  0.375  0.625  0.750
Ru  0.500  0.000  0.000
Ru  0.500  0.000  0.500
Ru  0.500  0.500  0.000
Ru  0.500  0.500  0.500
Ru  0.625  0.375  0.250
Ru  0.625  0.750  0.375
Ru  0.750  0.375  0.625
Ru  0.750  0.875  0.125
Ru  0.875  0.125  0.750
Ru  0.875  0.250  0.125

Summary:
- Calculated volume: 25.55 Å³/atom
- E_tot: -5.8558 eV per atom

---

Record 18
GdPuTlBi after structural relaxation, computed with GGA-PBE.

Lattice parameters (Å, degrees): 7.731 7.731 7.731 90.00 90.00 90.00
Atoms (fractional coordinates):
Gd  0.000  0.000  0.000
Gd  0.000  0.500  0.500
Gd  0.500  0.000  0.500
Gd  0.500  0.500  0.000
Pu  0.000  0.000  0.500
Pu  0.000  0.500  0.000
Pu  0.500  0.000  0.000
Pu  0.500  0.500  0.500
Tl  0.250  0.250  0.750
Tl  0.250  0.750  0.250
Tl  0.750  0.250  0.250
Tl  0.750  0.750  0.750
Bi  0.250  0.250  0.250
Bi  0.250  0.750  0.750
Bi  0.750  0.250  0.750
Bi  0.750  0.750  0.250

Summary:
- Calculated volume: 28.88 Å³/atom
- E_tot: -8.9789 eV per atom

---

Record 19
Tb4NdTm7 after structural relaxation, computed with GGA-PBE.

Lattice parameters (Å, degrees): 6.166 7.120 8.756 89.99 76.30 89.91
Atoms (fractional coordinates):
Tb  0.220  0.250  0.336
Tb  0.278  0.000  0.666
Tb  0.722  0.000  0.334
Tb  0.780  0.750  0.664
Nd  0.500  0.500  0.000
Tm  0.000  0.251  0.000
Tm  0.000  0.749  0.000
Tm  0.221  0.750  0.334
Tm  0.278  0.500  0.666
Tm  0.500  0.000  0.000
Tm  0.722  0.500  0.334
Tm  0.779  0.250  0.666

Summary:
- ΔE to the lowest computed polymorph: 0 meV/atom
- Calculated volume: 31.12 Å³/atom
- E_tot: -4.5469 eV per atom

---

Record 20
MgMnMoH after structural relaxation, computed with GGA-PBE.

Lattice parameters (Å, degrees): 4.788 3.129 7.113 90.00 108.10 90.00
Atoms (fractional coordinates):
Mg  0.000  0.000  0.000
Mg  0.500  0.500  0.000
Mn  0.053  0.500  0.332
Mn  0.553  0.000  0.332
Mo  0.182  0.000  0.616
Mo  0.682  0.500  0.616
H  0.085  0.500  0.760
H  0.585  0.000  0.760

Summary:
- ΔE to the lowest computed polymorph: 91 meV/atom
- Calculated volume: 12.66 Å³/atom
- E_tot: -6.0728 eV per atom

---

| no. | density of states at the Fermi level (states/eV per atom) |
| --- | --- |
| 1 | 1.3767 |
| 2 | 0.0000 |
| 3 | 0.9130 |
| 4 | 2.5229 |
| 5 | 0.9582 |
| 6 | 0.6296 |
| 7 | 0.8036 |
| 8 | 0.6786 |
| 9 | 1.0001 |
| 10 | 0.2240 |
| 11 | 0.0000 |
| 12 | 1.3578 |
| 13 | 0.6071 |
| 14 | 0.5521 |
| 15 | 0.2984 |
| 16 | 1.4392 |
| 17 | 0.6996 |
| 18 | 2.9035 |
| 19 | 1.3759 |
| 20 | 0.5167 |